A relaxed SrZn2Sn crystal, computed with PBE-GGA.

The structure in POSCAR format:
```
SrZn2Sn
1.0
-3.846 -1.434 1.921
-1.497 -1.399 -4.043
4.243 -9.215 1.617
Sr Zn Sn
2 4 2
Direct
0.500 0.000 0.243
0.000 0.500 0.757
0.500 0.000 0.937
0.000 0.500 0.063
0.000 0.000 0.500
0.500 0.500 0.500
0.500 0.000 0.657
0.000 0.500 0.343
```

The value obtained for the calculated total energy is -9.2 eV per formula unit. The magnetic moment is 0.0 μB/f.u. The crystal system is tetragonal.

A relaxed SrZn2Sn2 crystal, computed with PBE-GGA.

The structure in POSCAR format:
```
SrZn2Sn2
1.0
-8.093 1.837 1.623
-2.283 -7.687 -2.685
0.374 -1.260 3.289
Sr Zn Sn
2 4 4
Direct
0.000 0.000 0.000
0.500 0.500 0.000
0.160 0.660 0.500
0.660 0.840 0.500
0.840 0.340 0.500
0.340 0.160 0.500
0.367 0.867 0.000
0.867 0.633 0.000
0.633 0.133 0.000
0.133 0.367 0.000
```

The value obtained for the calculated total energy is -12.6 eV per formula unit. The magnetic moment is 0.0 μB/f.u. The crystal system is tetragonal.

A relaxed SrZn3Sn2 crystal, computed with PBE-GGA.

The structure in POSCAR format:
```
SrZn3Sn2
1.0
4.477 0.000 0.000
-2.239 8.737 0.313
0.000 -3.658 7.263
Sr Zn Sn
2 6 4
Direct
0.861 0.721 0.940
0.139 0.279 0.060
0.310 0.620 0.538
0.954 0.909 0.590
0.592 0.184 0.650
0.408 0.816 0.350
0.046 0.091 0.410
0.690 0.380 0.462
0.480 0.960 0.803
0.520 0.040 0.197
0.796 0.592 0.289
0.204 0.408 0.711
```

The value obtained for the calculated total energy is -14.8 eV per formula unit. The magnetic moment is 0.0 μB/f.u. The crystal system is monoclinic.

A relaxed SrZn3Sn3 crystal, computed with PBE-GGA.

The structure in POSCAR format:
```
SrZn3Sn3
1.0
7.458 0.000 0.000
0.000 7.458 0.000
0.000 0.000 7.458
Sr Zn Sn
2 6 6
Direct
0.500 0.500 0.500
0.000 0.000 0.000
0.000 0.250 0.500
0.000 0.750 0.500
0.500 0.000 0.750
0.750 0.500 0.000
0.500 0.000 0.250
0.250 0.500 0.000
0.250 0.000 0.500
0.000 0.500 0.250
0.500 0.750 0.000
0.750 0.000 0.500
0.000 0.500 0.750
0.500 0.250 0.000
```

The value obtained for the calculated total energy is -17.3 eV per formula unit. The magnetic moment is 0.0 μB/f.u. The crystal system is cubic. Its energy relative to the lowest polymorph listed for this composition is 1.52 eV/f.u.